Record 1
First-principles (GGA-PBE) data for crystalline Ce3As4Ir2 at its relaxed geometry, as listed in Alexandria.

**E above lowest polymorph**: 0.030 eV per atom
**ΔE_f**: -0.943 eV per atom

a = 4.433 Å, b = 5.926 Å, c = 8.176 Å
α = 101.70°, β = 90.00°, γ = 111.96°
Fractional coordinates of all 9 atoms:
As 0.725 0.449 0.069
As 0.081 0.163 0.400
As 0.275 0.551 0.931
As 0.919 0.837 0.600
Ce 0.659 0.317 0.670
Ce 0.000 0.000 0.000
Ce 0.341 0.683 0.330
Ir 0.594 0.188 0.280
Ir 0.406 0.812 0.720

Record 2
First-principles (GGA-PBE) data for crystalline Ce2Mg3N4 at its relaxed geometry, as listed in Alexandria.

**ΔE_f (raw)**: -863 meV per atom

a = 3.368 Å, b = 5.733 Å, c = 7.493 Å
α = 73.33°, β = 77.01°, γ = 72.92°
Fractional coordinates of all 9 atoms:
Mg 0.000 0.000 0.000
Mg 0.782 0.601 0.835
Mg 0.218 0.399 0.165
Ce 0.590 0.198 0.622
Ce 0.410 0.802 0.378
N 0.200 0.904 0.695
N 0.400 0.306 0.894
N 0.600 0.694 0.106
N 0.800 0.096 0.305

Record 3
First-principles (GGA-PBE) data for crystalline NaAcBeF6 at its relaxed geometry, as listed in Alexandria.

**ΔE_f (raw)**: -3416 meV per atom

a = 5.349 Å, b = 5.349 Å, c = 5.041 Å
α = 90.00°, β = 90.00°, γ = 60.00°
Fractional coordinates of all 9 atoms:
F 0.060 0.332 0.292
F 0.608 0.332 0.708
F 0.060 0.608 0.708
F 0.332 0.608 0.292
F 0.608 0.060 0.292
F 0.332 0.060 0.708
Be 0.333 0.333 0.500
Na 0.667 0.667 0.500
Ac 0.000 0.000 0.000

Record 4
First-principles (GGA-PBE) data for crystalline Mg2Ni3P at its relaxed geometry, as listed in Alexandria.

**ΔE_f**: -0.487 eV per atom

a = 4.624 Å, b = 4.624 Å, c = 4.624 Å
α = 65.23°, β = 65.23°, γ = 65.23°
Fractional coordinates of all 6 atoms:
P 0.000 0.000 0.000
Ni 0.500 0.000 0.000
Ni 0.000 0.500 0.000
Ni 0.000 0.000 0.500
Mg 0.374 0.374 0.374
Mg 0.626 0.626 0.626

Record 5
First-principles (GGA-PBE) data for crystalline Ga2CoRu at its relaxed geometry, as listed in Alexandria.

**E above lowest polymorph**: 0.150 eV per atom
**ΔE_f**: -0.152 eV per atom

a = 2.843 Å, b = 2.843 Å, c = 7.951 Å
α = 79.70°, β = 79.70°, γ = 60.00°
Fractional coordinates of all 4 atoms:
Ga 0.246 0.246 0.261
Ga 0.087 0.087 0.739
Ru 0.666 0.666 0.002
Co 0.501 0.501 0.498

Record 6
First-principles (GGA-PBE) data for crystalline Sc2InS at its relaxed geometry, as listed in Alexandria.

**E above lowest polymorph**: 0.000 eV per atom
**ΔE_f (raw)**: -1161 meV per atom

a = 3.573 Å, b = 3.573 Å, c = 7.885 Å
α = 76.90°, β = 76.90°, γ = 60.00°
Fractional coordinates of all 4 atoms:
Sc 0.732 0.732 0.804
Sc 0.268 0.268 0.196
In 0.500 0.500 0.500
S 0.000 0.000 0.000

In the order shown, the computed electronic total energy values come out to -62.6, -57.7, -51.1, -28.9, -23.0, -24.2 eV/f.u..